1:
Y2Cu2SiSn | GGA-PBE | relaxed

Unit cell a=10.932 b=4.472 c=10.950 alpha=90.00 beta=109.43 gamma=90.00
Positions (direct):
Cu  0.373  0.500  0.124
Cu  0.761  0.000  0.255
Cu  0.116  0.500  0.368
Cu  0.508  0.000  0.511
Cu  0.870  0.500  0.626
Cu  0.255  0.000  0.749
Cu  0.630  0.500  0.870
Cu  0.993  0.000  0.999
Si  0.996  0.000  0.250
Si  0.750  0.000  0.503
Si  0.501  0.000  0.747
Si  0.871  0.500  0.873
Sn  0.251  0.000  0.000
Sn  0.627  0.500  0.126
Sn  0.375  0.500  0.375
Sn  0.125  0.500  0.626
Y  0.113  0.500  0.122
Y  0.508  0.000  0.258
Y  0.874  0.500  0.379
Y  0.248  0.000  0.496
Y  0.628  0.500  0.628
Y  0.991  0.000  0.750
Y  0.383  0.500  0.870
Y  0.750  0.000  0.995

Computed properties:
The symmetry is Pm.

***

2:
Y2Cu2SiSn | GGA-PBE | relaxed

Unit cell a=4.326 b=4.326 c=7.523 alpha=90.00 beta=90.00 gamma=120.00
Positions (direct):
Cu  0.000  0.000  0.000
Cu  0.333  0.667  0.500
Si  0.333  0.667  0.000
Sn  0.000  0.000  0.500
Y  0.667  0.333  0.238
Y  0.667  0.333  0.762

Computed properties:
The symmetry is P-6m2.

***

It is 2 that is most stable; the runner-up trails by 0.050 eV/atom.

***

1:
TaZnCuSi | GGA-PBE | relaxed

Unit cell a=4.345 b=4.345 c=4.345 alpha=60.00 beta=60.00 gamma=60.00
Positions (direct):
Cu  0.750  0.750  0.750
Si  0.000  0.000  0.000
Ta  0.250  0.250  0.250
Zn  0.500  0.500  0.500

Computed properties:
The symmetry is F-43m.

***

2:
TaZnCuSi | GGA-PBE | relaxed

Unit cell a=4.364 b=4.364 c=4.364 alpha=60.00 beta=60.00 gamma=60.00
Positions (direct):
Cu  0.750  0.750  0.750
Si  0.000  0.000  0.000
Ta  0.500  0.500  0.500
Zn  0.250  0.250  0.250

Computed properties:
The symmetry is F-43m.

***

It is 1 that is most stable; the runner-up trails by 0.287 eV/atom.

***

1:
ZrCuSiTc | GGA-PBE | relaxed

Unit cell a=4.457 b=4.457 c=4.457 alpha=60.00 beta=60.00 gamma=60.00
Positions (direct):
Cu  0.750  0.750  0.750
Si  0.000  0.000  0.000
Tc  0.500  0.500  0.500
Zr  0.250  0.250  0.250

Computed properties:
The symmetry is F-43m.

***

2:
ZrCuSiTc | GGA-PBE | relaxed

Unit cell a=4.404 b=4.404 c=4.404 alpha=60.00 beta=60.00 gamma=60.00
Positions (direct):
Cu  0.750  0.750  0.750
Si  0.000  0.000  0.000
Tc  0.250  0.250  0.250
Zr  0.500  0.500  0.500

Computed properties:
The symmetry is F-43m.

***

It is 2 that is most stable; the runner-up trails by 0.282 eV/atom.

***

1:
YCuSiW | GGA-PBE | relaxed

Unit cell a=4.644 b=4.644 c=4.644 alpha=60.00 beta=60.00 gamma=60.00
Positions (direct):
Cu  0.750  0.750  0.750
Si  0.000  0.000  0.000
W  0.500  0.500  0.500
Y  0.250  0.250  0.250

Computed properties:
The symmetry is F-43m.

***

2:
YCuSiW | GGA-PBE | relaxed

Unit cell a=4.556 b=4.556 c=4.556 alpha=60.00 beta=60.00 gamma=60.00
Positions (direct):
Cu  0.750  0.750  0.750
Si  0.000  0.000  0.000
W  0.250  0.250  0.250
Y  0.500  0.500  0.500

Computed properties:
The symmetry is F-43m.

***

It is 2 that is most stable; the runner-up trails by 0.343 eV/atom.